Record 1
A plane-wave DFT calculation with PBE-GGA was carried out for crystalline Er2MgNi3Ge4 at its relaxed geometry.

## Properties
N(E_F): 3.510 states/eV/cell
formation enthalpy at 0 K: -0.61 eV/atom
M_tot: 0.0000 μB/atom

a = 4.038 Å, b = 4.038 Å, c = 10.393 Å
α = 90.00°, β = 90.00°, γ = 90.00°
Atoms (fractional coordinates):
Er  0.000  0.500  0.237
Er  0.500  0.000  0.763
Mg  0.000  0.000  0.500
Ni  0.000  0.500  0.878
Ni  0.500  0.000  0.122
Ni  0.500  0.500  0.500
Ge  0.000  0.000  0.000
Ge  0.000  0.500  0.654
Ge  0.500  0.000  0.346
Ge  0.500  0.500  0.000



Record 2
A plane-wave DFT calculation with PBE-GGA was carried out for crystalline ErMgNiGe2 at its relaxed geometry.

## Properties
N(E_F): 5.163 states/eV/cell
formation enthalpy at 0 K: -0.43 eV/atom
M_tot: 0.0000 μB/atom

a = 5.454 Å, b = 5.752 Å, c = 5.738 Å
α = 90.00°, β = 90.00°, γ = 90.00°
Atoms (fractional coordinates):
Er  0.250  0.000  0.236
Er  0.750  0.000  0.764
Mg  0.250  0.500  0.378
Mg  0.750  0.500  0.622
Ni  0.000  0.500  0.000
Ni  0.500  0.500  0.000
Ge  0.250  0.228  0.760
Ge  0.250  0.772  0.760
Ge  0.750  0.228  0.240
Ge  0.750  0.772  0.240



Record 3
A plane-wave DFT calculation with PBE-GGA was carried out for crystalline Er2MgNi4Ge3 at its relaxed geometry.

## Properties
N(E_F): 6.708 states/eV/cell
formation enthalpy at 0 K: -0.60 eV/atom
M_tot: 0.0000 μB/atom

a = 4.035 Å, b = 4.035 Å, c = 10.026 Å
α = 90.00°, β = 90.00°, γ = 90.00°
Atoms (fractional coordinates):
Er  0.000  0.500  0.239
Er  0.500  0.000  0.761
Mg  0.000  0.000  0.500
Ni  0.000  0.000  0.000
Ni  0.000  0.500  0.644
Ni  0.500  0.000  0.356
Ni  0.500  0.500  0.000
Ge  0.000  0.500  0.873
Ge  0.500  0.000  0.127
Ge  0.500  0.500  0.500



Record 4
A plane-wave DFT calculation with PBE-GGA was carried out for crystalline PmErMgGe at its relaxed geometry.

## Properties
N(E_F): 3.627 states/eV/cell
formation enthalpy at 0 K: -0.35 eV/atom
M_tot: 0.0004 μB/atom

a = 5.175 Å, b = 5.175 Å, c = 5.175 Å
α = 60.00°, β = 60.00°, γ = 60.00°
Atoms (fractional coordinates):
Pm  0.000  0.000  0.000
Er  0.500  0.500  0.500
Mg  0.750  0.750  0.750
Ge  0.250  0.250  0.250



Record 5
A plane-wave DFT calculation with PBE-GGA was carried out for crystalline ErMgGe2Pt5 at its relaxed geometry.

## Properties
N(E_F): 4.838 states/eV/cell
formation enthalpy at 0 K: -0.76 eV/atom
M_tot: 0.0000 μB/atom

a = 4.144 Å, b = 4.144 Å, c = 8.968 Å
α = 90.00°, β = 90.00°, γ = 90.00°
Atoms (fractional coordinates):
Er  0.000  0.000  0.000
Mg  0.000  0.000  0.500
Ge  0.500  0.500  0.134
Ge  0.500  0.500  0.866
Pt  0.000  0.500  0.282
Pt  0.000  0.500  0.718
Pt  0.500  0.000  0.282
Pt  0.500  0.000  0.718
Pt  0.500  0.500  0.500



Record 6
A plane-wave DFT calculation with PBE-GGA was carried out for crystalline Er2MgGe4Pt3 at its relaxed geometry.

## Properties
N(E_F): 2.432 states/eV/cell
formation enthalpy at 0 K: -0.81 eV/atom
M_tot: 0.0000 μB/atom

a = 4.092 Å, b = 4.092 Å, c = 11.263 Å
α = 90.00°, β = 90.00°, γ = 90.00°
Atoms (fractional coordinates):
Er  0.000  0.500  0.246
Er  0.500  0.000  0.754
Mg  0.500  0.500  0.000
Ge  0.000  0.000  0.500
Ge  0.000  0.500  0.853
Ge  0.500  0.000  0.147
Ge  0.500  0.500  0.500
Pt  0.000  0.000  0.000
Pt  0.000  0.500  0.636
Pt  0.500  0.000  0.364



Q: Which of these has the highest M_tot?
A: PmErMgGe



Q: M_tot of number 6 (Er2MgGe4Pt3)?
A: 0.0000 μB/atom



Q: What is the formula in the sixth record?
A: Er2MgGe4Pt3